Entry from the Alexandria database: crystalline K3Cu4Te4 at its relaxed geometry (PBE).

abc: 7.2564 7.2564 7.2564
angles: 109.47 109.47 109.47
Last column: nearest neighbours and their distance in Å.
Positions (direct):
K 0.5000 0.5000 0.0000  4 Te 3.43, 4 Cu 3.49
K 0.5000 0.0000 0.5000  4 Te 3.43, 4 Cu 3.49
K 0.0000 0.5000 0.5000  4 Te 3.43, 4 Cu 3.49
Cu 0.0000 0.2367 0.0000  4 Te 2.70-2.81, 3 Cu 2.81
Cu 0.0000 0.0000 0.2367  4 Te 2.70-2.81, 3 Cu 2.81
Cu 0.2367 0.0000 0.0000  4 Te 2.70-2.81, 3 Cu 2.81
Cu 0.7633 0.7633 0.7633  4 Te 2.70-2.81, 3 Cu 2.81
Te 0.0000 0.6239 0.0000  4 Cu 2.70-2.81
Te 0.6239 0.0000 0.0000  4 Cu 2.70-2.81
Te 0.0000 0.0000 0.6239  4 Cu 2.70-2.81
Te 0.3761 0.3761 0.3761  4 Cu 2.70-2.81

## Properties
**ΔE_f (raw)**: -457 meV per atom
**E_tot**: -3.3883 eV/atom
**E above lowest polymorph**: 0.000 eV per atom

***

Entry from the Alexandria database: crystalline Na3Pa3GaN8 at its relaxed geometry (PBE).

abc: 6.6689 7.0462 6.9060
angles: 119.10 90.00 118.24
Last column: nearest neighbours and their distance in Å.
Positions (direct):
Na 0.0000 0.0000 0.0000  6 N 2.63-2.82
Na 0.0000 0.5000 0.0000  6 N 2.59-2.80
Na 0.5000 0.5000 0.0000  6 N 2.59-2.80
Pa 0.5000 0.0000 0.5000  6 N 2.23-2.38
Pa 0.5000 0.5000 0.5000  4 N 2.17-2.24
Pa 0.0000 0.5000 0.5000  4 N 2.17-2.24
Ga 0.0000 0.0000 0.5000  4 N 2.08
N 0.2713 0.5426 0.3069  3 Pa 2.24-2.38
N 0.7287 0.4574 0.6931  3 Pa 2.24-2.38
N 0.7477 0.4954 0.2975  2 Pa 2.17
N 0.2523 0.5046 0.7025  2 Pa 2.17
N 0.7823 0.0346 0.3218  1 Ga 2.08, 1 Pa 2.23
N 0.2177 0.9654 0.6782  1 Ga 2.08, 1 Pa 2.23
N 0.2523 0.0346 0.3218  1 Ga 2.08, 1 Pa 2.23
N 0.7477 0.9654 0.6782  1 Ga 2.08, 1 Pa 2.23

## Properties
**ΔE_f (raw)**: -615 meV per atom
**E_tot**: -7.4203 eV/atom

***

Entry from the Alexandria database: crystalline La5Pr2Cd at its relaxed geometry (PBE).

abc: 7.2806 7.2806 7.2809
angles: 119.83 119.83 90.30
Last column: nearest neighbours and their distance in Å.
Positions (direct):
La 0.2788 0.2789 0.5018  6 La 3.64-3.66, 4 Pr 3.64, 2 Cd 3.64
La 0.2797 0.7779 0.0000  2 Cd 3.63-3.65, 6 La 3.63-3.66, 4 Pr 3.64
La 0.7764 0.2778 0.0000  6 La 3.63-3.66, 2 Cd 3.64-3.65, 4 Pr 3.64
La 0.7770 0.7772 0.4982  6 La 3.64-3.66, 4 Pr 3.64, 2 Cd 3.64
La 0.2772 0.2770 0.0000  8 La 3.63-3.65, 4 Pr 3.64-3.65
Pr 0.2766 0.7769 0.4980  10 La 3.64-3.65, 2 Cd 3.64-3.66
Pr 0.7785 0.2789 0.5020  10 La 3.64-3.65, 2 Cd 3.64-3.66
Cd 0.7788 0.7784 0.0000  8 La 3.63-3.65, 4 Pr 3.64-3.66

## Properties
**ΔH_f (0 K)**: -0.06 eV per atom
**E_tot**: -4.4481 eV/atom

***

Entry from the Alexandria database: crystalline Ba2ScW at its relaxed geometry (PBE).

abc: 12.1799 12.1799 8.9753
angles: 47.27 47.27 90.00
Last column: nearest neighbours and their distance in Å.
Positions (direct):
Sc 0.5000 0.5000 0.0000  2 W 2.53
Sc 0.2500 0.7500 0.5000  2 W 2.53
Ba 0.8196 0.1250 0.2500  2 W 3.18
Ba 0.9304 0.6250 0.2500  2 W 3.18
Ba 0.3750 0.1804 0.7500  2 W 3.18
Ba 0.8750 0.0696 0.7500  2 W 3.18
W 0.0000 0.0000 0.0000  2 Sc 2.53
W 0.7500 0.2500 0.5000  2 Sc 2.53

## Properties
**ΔH_f (0 K)**: 1.10 eV per atom
**E_tot**: -4.6843 eV/atom
**E above lowest polymorph**: 0.410 eV per atom

***

Entry from the Alexandria database: crystalline AcTlAu at its relaxed geometry (PBE).

abc: 4.3832 4.3832 9.8341
angles: 97.97 97.97 87.53
Last column: nearest neighbours and their distance in Å.
Positions (direct):
Au 0.6897 0.6897 0.6070  1 Au 2.87, 1 Tl 3.13, 2 Ac 3.17
Au 0.3103 0.3103 0.3930  1 Au 2.87, 1 Tl 3.13, 2 Ac 3.17
Tl 0.7429 0.7429 0.9305  1 Au 3.13, 3 Tl 3.28-3.32
Tl 0.2571 0.2571 0.0695  1 Au 3.13, 3 Tl 3.28-3.32
Ac 0.2088 0.2088 0.7015  5 Au 3.17-3.35
Ac 0.7912 0.7912 0.2985  5 Au 3.17-3.35

## Properties
**ΔH_f (0 K)**: -0.53 eV per atom
**E_tot**: -3.7769 eV/atom
**E above lowest polymorph**: 0.090 eV per atom

***

Entry from the Alexandria database: crystalline Zr2TaBi at its relaxed geometry (PBE).

abc: 3.6850 3.6850 6.5266
angles: 90.00 90.00 90.00
Last column: nearest neighbours and their distance in Å.
Positions (direct):
Bi 0.5000 0.5000 0.5000  8 Zr 3.11, 2 Ta 3.26
Zr 0.0000 0.0000 0.7611  4 Ta 3.04, 4 Bi 3.11, 1 Zr 3.12
Zr 0.0000 0.0000 0.2389  4 Ta 3.04, 4 Bi 3.11, 1 Zr 3.12
Ta 0.5000 0.5000 0.0000  8 Zr 3.04, 2 Bi 3.26

## Properties
**ΔH_f (0 K)**: -0.13 eV per atom
**E_tot**: -8.3370 eV/atom

***

Entry from the Alexandria database: crystalline CdPbBr4 at its relaxed geometry (PBE).

abc: 4.2259 6.8357 7.4987
angles: 92.14 90.00 90.00
Last column: nearest neighbours and their distance in Å.
Positions (direct):
Cd 0.0000 0.0000 0.0000  6 Br 2.83-2.86
Pb 0.5000 0.0000 0.5000  6 Br 3.06
Br 0.0000 0.2427 0.3139  1 Cd 2.83, 2 Pb 3.06
Br 0.5000 0.7709 0.1409  2 Cd 2.86, 1 Pb 3.06
Br 0.5000 0.2291 0.8591  2 Cd 2.86, 1 Pb 3.06
Br 0.0000 0.7573 0.6861  1 Cd 2.83, 2 Pb 3.06

## Properties
**ΔE_f (raw)**: -873 meV per atom
**E_tot**: -2.7592 eV/atom
**E above lowest polymorph**: 0.000 eV per atom

***

Entry from the Alexandria database: crystalline SrPmGaAu at its relaxed geometry (PBE).

abc: 5.3275 5.3275 5.3275
angles: 60.00 60.00 60.00
Last column: nearest neighbours and their distance in Å.
Positions (direct):
Sr 0.5000 0.5000 0.5000  4 Ga 3.26, 4 Au 3.26
Au 0.7500 0.7500 0.7500  4 Pm 3.26, 4 Sr 3.26
Ga 0.2500 0.2500 0.2500  4 Sr 3.26, 4 Pm 3.26
Pm 0.0000 0.0000 0.0000  4 Ga 3.26, 4 Au 3.26

## Properties
**ΔH_f (0 K)**: -0.55 eV per atom
**E_tot**: -3.7388 eV/atom